HgB3Ru after structural relaxation. Source: Alexandria via LeMat-Bulk, functional PBE.

Its total magnetization is 0.000 μB per atom. Its energy is -4.862 eV per atom. The value obtained for the density of states at the Fermi level is 1.64 states/eV/f.u. The calculation puts the distance to the lowest polymorph of the same formula at 0.00 eV/f.u.

a = 4.161 Å, b = 4.161 Å, c = 4.161 Å
α = 90.00°, β = 90.00°, γ = 90.00°
Space group Pm-3m (No. 221)
Inequivalent atoms, fractional coordinates:
Hg: 0.000 0.000 0.000
B: 0.000 0.500 0.500
Ru: 0.500 0.500 0.500